Crystalline Zn2Co6HN at its relaxed geometry. Source: Alexandria via LeMat-Bulk, functional PBE-GGA.

Output
D(E_F) = 11.1 states/eV per cell
space-group type = Fm-3m (225)
total magnetic moment = 4.097 μB per cell
raw total energy = -5.7509 eV per atom

```
10
Lattice="5.186 0.000 -0.002 0.000 5.186 -0.002 2.592 2.592 3.669" Properties=species:S:1:pos:R:3 pbc="T T T"
H 0.000 0.000 0.000
N 2.593 2.593 -0.002
Zn 5.185 2.592 1.833
Zn 2.592 5.185 1.833
Co 1.277 3.909 -0.002
Co 5.185 5.185 1.806
Co 3.868 3.868 3.668
Co 3.909 3.909 -0.002
Co 2.592 2.592 1.860
Co 3.909 1.277 -0.002
```

Crystalline ZrCo2HN at its relaxed geometry. Source: Alexandria via LeMat-Bulk, functional PBE-GGA.

Output
D(E_F) = 5.6 states/eV per cell
space-group type = P4/mmm (123)
total magnetic moment = 0.307 μB per cell
raw total energy = -6.9449 eV per atom

```
5
Lattice="-3.487 0.276 0.654 0.547 -2.398 3.929 0.572 3.033 1.771" Properties=species:S:1:pos:R:3 pbc="T T T"
Co -1.744 0.138 0.327
Co 0.286 1.517 0.886
Zr 0.274 -1.199 1.964
N 0.000 0.000 0.000
H -1.184 0.456 3.177
```

Crystalline NaCoH3 at its relaxed geometry. Source: Alexandria via LeMat-Bulk, functional PBE-GGA.

Output
D(E_F) = 1.2 states/eV per cell
space-group type = P4mm (99)
total magnetic moment = 0.000 μB per cell
raw total energy = -3.5460 eV per atom

```
5
Lattice="-0.179 -2.305 -1.460 2.386 0.577 -1.204 2.518 -2.577 3.759" Properties=species:S:1:pos:R:3 pbc="T T T"
Na 0.249 -0.255 0.372
H 1.004 -2.272 0.903
H 2.287 -0.831 1.031
H 1.746 -1.786 2.607
Co 2.622 -2.418 0.935
```

Crystalline Na3Co5H12 at its relaxed geometry. Source: Alexandria via LeMat-Bulk, functional PBE-GGA.

Output
D(E_F) = 51.8 states/eV per cell
space-group type = Ia-3d (230)
total magnetic moment = 23.398 μB per cell
raw total energy = -3.8805 eV per atom

```
80
Lattice="-5.670 3.609 6.588 7.420 -4.059 4.128 2.956 6.877 -5.705" Properties=species:S:1:pos:R:3 pbc="T T T"
H 7.474 -0.702 2.014
H 0.131 3.690 5.135
H 3.801 5.149 -0.914
H 2.476 -0.337 5.433
H 2.633 7.010 -4.137
H 1.030 0.292 3.845
H 2.165 2.980 -1.474
H 6.646 -2.689 3.803
H -1.285 5.275 4.432
H 1.902 7.137 3.085
H 3.771 3.904 2.812
H 0.561 7.947 1.487
H 0.906 1.278 5.925
H 2.310 3.847 1.030
H 4.571 1.269 5.158
H -3.042 2.140 4.851
H 2.397 2.581 3.981
H 5.429 0.791 3.148
H 4.146 -1.519 3.524
H 4.576 2.737 -0.124
H 3.356 5.571 4.854
H 0.935 2.524 2.199
H -2.782 3.385 3.010
H -1.940 9.116 1.208
H 5.956 4.582 1.466
H 2.805 -0.709 1.926
H -0.704 2.311 7.969
H 3.676 6.135 1.166
H 5.410 4.116 -2.957
H 1.640 4.991 -2.472
H -2.767 7.130 2.997
H -1.226 3.699 0.864
H 2.542 3.447 6.486
H -1.723 4.134 6.307
H 1.557 4.506 3.031
H 5.932 2.728 4.147
H 7.749 4.287 0.160
H -1.249 1.845 3.545
H -0.722 5.636 1.864
H 0.136 5.159 -0.147
H 3.067 1.437 7.484
H 3.150 1.922 1.980
H 2.231 6.764 -0.422
H 7.488 3.042 2.001
H 6.430 2.293 -1.295
H 1.350 0.856 0.157
H 5.991 1.153 0.579
H 2.074 -0.583 9.148
Na -3.295 4.370 4.854
Na 3.733 5.454 -3.136
Na 8.001 2.057 0.157
Na 4.088 3.454 4.988
Na 0.619 2.974 0.024
Na -1.100 2.045 5.776
Na -0.580 3.820 3.010
Na 5.287 2.607 2.001
Na 0.973 0.974 8.147
Na 3.250 0.536 3.624
Na 1.456 5.891 1.387
Na 5.807 4.383 -0.765
Co 1.894 5.779 4.066
Co -1.357 5.243 0.441
Co 2.353 3.214 2.506
Co 3.688 0.424 6.303
Co 1.019 6.004 -1.292
Co 2.813 0.648 0.945
Co -2.835 1.805 3.294
Co 0.875 -0.225 5.358
Co -1.258 6.441 3.231
Co 5.188 1.409 -0.788
Co 3.710 -2.029 2.064
Co -0.738 8.217 0.465
Co 5.965 -0.014 1.780
Co 1.494 2.749 5.382
Co 1.478 3.438 -2.852
Co 0.000 0.000 0.000
Co 0.098 1.198 2.789
Co 3.213 3.678 -0.370
Co 4.608 5.229 2.222
Co 5.445 -1.790 4.546
```

Crystalline NaCoH3 at its relaxed geometry. Source: Alexandria via LeMat-Bulk, functional PBE-GGA.

Output
D(E_F) = 4.4 states/eV per cell
space-group type = Cmcm (63)
total magnetic moment = 2.264 μB per cell
raw total energy = -3.5024 eV per atom

```
10
Lattice="-5.726 6.656 5.798 3.292 -7.490 -6.615 -0.095 -2.925 3.264" Properties=species:S:1:pos:R:3 pbc="T T T"
Co -1.056 -1.437 0.154
Co -1.472 -2.322 2.293
H 0.684 -6.350 -1.254
H -0.047 -1.462 1.632
H 1.361 -6.118 -1.027
H -3.212 2.591 3.701
H 0.000 0.000 0.000
H -3.889 2.359 3.473
Na -4.857 2.989 6.953
Na 2.329 -6.747 -4.506
```

Crystalline NaCoH2 at its relaxed geometry. Source: Alexandria via LeMat-Bulk, functional PBE-GGA.

Output
D(E_F) = 13.9 states/eV per cell
space-group type = I-42d (122)
total magnetic moment = 2.842 μB per cell
energy above the lowest structure with this stoichiometry = 42 meV/atom

```
8
Lattice="4.957 0.000 0.000 0.000 4.957 0.000 2.478 2.478 3.181" Properties=species:S:1:pos:R:3 pbc="T T T"
Na 2.478 2.478 0.000
Na 2.478 4.957 1.591
H 3.717 3.202 2.386
H 6.196 6.711 2.386
H 4.233 1.239 0.795
H 0.724 3.717 0.795
Co 0.000 0.000 0.000
Co 4.957 2.478 1.591
```

Crystalline Na4CoH6 at its relaxed geometry. Source: Alexandria via LeMat-Bulk, functional PBE-GGA.

Output
D(E_F) = 5.3 states/eV per cell
space-group type = P4/mnc (128)
total magnetic moment = 0.000 μB per cell
raw total energy = -3.1123 eV per atom

```
22
Lattice="-1.747 -5.211 3.442 5.120 -3.241 -2.309 3.630 2.127 5.063" Properties=species:S:1:pos:R:3 pbc="T T T"
H 2.572 -3.707 1.802
H 4.026 -6.318 4.048
H 0.930 0.545 1.297
H 0.768 -3.042 5.007
H 1.530 -5.675 1.288
H 2.977 -0.007 2.148
H 3.034 -4.745 -0.182
H 0.339 -3.708 1.315
H 6.236 -3.283 1.189
H 2.700 1.583 3.766
H 4.431 -2.618 4.395
H 1.844 -2.777 -0.155
Na 3.171 -0.631 4.411
Na 2.886 -3.608 5.867
Na 5.647 -4.630 4.317
Na 1.071 -4.672 3.335
Na 1.356 -1.694 1.879
Na 4.117 -2.716 0.330
Na 3.832 -5.694 1.785
Na 5.932 -1.653 2.861
Co 1.687 -4.226 0.567
Co 1.815 1.064 2.531
```

Crystalline Na3Co2H7 at its relaxed geometry. Source: Alexandria via LeMat-Bulk, functional PBE-GGA.

Output
D(E_F) = 2.9 states/eV per cell
space-group type = I4/mmm (139)
total magnetic moment = 0.663 μB per cell
raw total energy = -3.5915 eV per atom

```
12
Lattice="-2.835 -1.548 -1.016 0.488 -2.418 2.321 -3.571 6.754 5.316" Properties=species:S:1:pos:R:3 pbc="T T T"
Co -5.028 1.893 5.500
Co -0.891 0.896 1.121
Na -2.905 -0.241 2.830
Na -3.013 3.030 3.790
Na -1.174 -1.983 0.652
H -3.626 2.683 6.029
H -0.631 -0.329 2.261
H -4.179 1.040 4.433
H -1.739 1.749 2.188
H 0.000 0.000 0.000
H -2.292 0.106 0.592
H -5.288 3.118 4.360
```

Crystalline NaCoH3 at its relaxed geometry. Source: Alexandria via LeMat-Bulk, functional PBE-GGA.

Output
D(E_F) = 2.6 states/eV per cell
space-group type = P2_1/m (11)
total magnetic moment = 0.000 μB per cell
raw total energy = -3.7291 eV per atom

```
10
Lattice="-1.326 -3.015 0.437 3.331 -0.930 3.690 -2.580 3.401 3.186" Properties=species:S:1:pos:R:3 pbc="T T T"
H 0.255 -0.332 4.884
H -0.831 -0.212 2.429
H 1.315 -2.621 4.948
H -1.890 2.077 2.365
H -0.355 1.648 4.066
H -0.221 -2.193 3.247
Na -2.410 0.724 4.091
Na 1.835 -1.268 3.222
Co -1.667 -1.617 2.830
Co 1.092 1.072 4.483
```

Crystalline NaCoH3 at its relaxed geometry. Source: Alexandria via LeMat-Bulk, functional PBE-GGA.

Output
D(E_F) = 2.3 states/eV per cell
space-group type = C2/m (12)
total magnetic moment = 2.156 μB per cell
raw total energy = -3.7179 eV per atom

```
10
Lattice="-0.972 11.023 -2.577 -2.994 3.277 -1.717 0.357 -3.063 3.624" Properties=species:S:1:pos:R:3 pbc="T T T"
H -0.995 5.463 0.801
H -1.120 7.564 0.393
H -1.858 9.490 -0.842
H -2.489 3.672 -1.064
H -2.614 5.773 -1.471
H -1.751 1.746 0.171
Na -0.079 1.067 2.560
Na -3.530 10.169 -3.230
Co 0.092 -1.826 3.120
Co -3.701 13.062 -3.790
```

Crystalline NaCoH3 at its relaxed geometry. Source: Alexandria via LeMat-Bulk, functional PBE-GGA.

Output
D(E_F) = 5.6 states/eV per cell
space-group type = P2_1/c (14)
total magnetic moment = 1.237 μB per cell
raw total energy = -3.7053 eV per atom

```
20
Lattice="-12.443 -4.182 8.438 0.529 -4.265 -1.334 5.466 0.739 -0.194" Properties=species:S:1:pos:R:3 pbc="T T T"
H -2.290 -6.167 3.638
H -1.627 -5.131 2.054
H -10.743 -6.287 6.779
H 4.990 -3.542 -0.918
H -11.438 -4.167 7.827
H 4.295 -1.421 0.131
H -4.158 -1.542 3.272
H -4.162 -4.408 3.897
H -2.286 -3.300 3.013
H -7.383 -5.391 6.728
H -4.821 -2.577 4.855
H 0.935 -2.317 0.182
Co -2.802 -4.810 2.926
Co -3.646 -2.898 3.984
Co -0.160 -1.153 -0.131
Co -6.288 -6.556 7.040
Na 2.460 -0.825 1.136
Na -0.045 -3.683 1.688
Na -6.403 -4.026 5.221
Na -8.908 -6.883 5.773
```

Crystalline NaCoH3 at its relaxed geometry. Source: Alexandria via LeMat-Bulk, functional PBE-GGA.

Output
D(E_F) = 2.5 states/eV per cell
space-group type = P-1 (2)
total magnetic moment = 1.893 μB per cell
raw total energy = -3.7610 eV per atom

```
10
Lattice="-2.937 -3.384 1.010 -0.186 -1.335 -5.363 4.212 -0.026 1.786" Properties=species:S:1:pos:R:3 pbc="T T T"
H 2.528 -0.779 -1.845
H 1.096 -1.856 -4.351
H 0.115 -3.029 -2.717
H 0.427 -0.773 -2.732
H 3.208 -1.875 -3.452
H -1.528 -2.984 -3.354
Co -0.416 -1.847 -3.701
Co -0.997 -4.166 -2.370
Na 0.825 -2.148 -0.822
Na -2.053 -2.530 0.114
```

Crystalline NaCoH2 at its relaxed geometry. Source: Alexandria via LeMat-Bulk, functional PBE-GGA.

Output
D(E_F) = 1.2 states/eV per cell
space-group type = R-3m (166)
total magnetic moment = 0.362 μB per cell
energy above the lowest structure with this stoichiometry = 0 meV/atom

```
4
Lattice="-1.872 1.911 -0.856 -2.466 -0.827 -1.061 -3.443 0.451 3.932" Properties=species:S:1:pos:R:3 pbc="T T T"
H -5.614 1.141 1.005
H -2.167 0.394 1.011
Co -3.890 0.768 1.008
Na 0.000 0.000 0.000
```

Crystalline Na2CoH at its relaxed geometry. Source: Alexandria via LeMat-Bulk, functional PBE-GGA.

Output
D(E_F) = 11.7 states/eV per cell
space-group type = I-42d (122)
total magnetic moment = 2.397 μB per cell
energy above the lowest structure with this stoichiometry = 0 meV/atom

```
8
Lattice="-3.986 3.805 8.112 -8.271 1.851 -4.932 -6.689 1.390 1.989" Properties=species:S:1:pos:R:3 pbc="T T T"
Co -8.401 4.012 5.846
Co 0.000 0.000 0.000
Na -8.022 2.632 -0.183
Na -11.029 3.481 1.840
Na -4.515 2.306 3.562
Na -14.325 5.676 5.119
H -6.129 2.828 1.590
H -10.544 3.035 -0.677
```

Crystalline NaCoH3 at its relaxed geometry. Source: Alexandria via LeMat-Bulk, functional PBE-GGA.

Output
D(E_F) = 2.2 states/eV per cell
space-group type = R3m (160)
total magnetic moment = 1.690 μB per cell
raw total energy = -3.7198 eV per atom

```
10
Lattice="4.850 -0.002 0.000 2.423 4.201 0.001 2.424 1.398 4.283" Properties=species:S:1:pos:R:3 pbc="T T T"
Co 2.224 1.638 2.547
Co 4.651 0.238 0.656
H 4.648 4.689 3.670
H 3.221 2.213 3.667
H 3.432 0.940 1.612
H 7.073 3.031 1.613
H 5.867 0.939 1.612
H 6.079 2.211 3.670
Na 4.649 3.038 2.079
Na 7.073 4.437 3.554
```

Crystalline Na2CoH6 at its relaxed geometry. Source: Alexandria via LeMat-Bulk, functional PBE-GGA.

Output
D(E_F) = 1.3 states/eV per cell
space-group type = Immm (71)
total magnetic moment = 0.000 μB per cell
raw total energy = -3.4123 eV per atom

```
9
Lattice="-2.865 1.026 1.584 -2.701 -1.069 -4.192 2.081 -4.351 2.872" Properties=species:S:1:pos:R:3 pbc="T T T"
H -0.744 -1.262 -0.531
H -2.739 -3.133 0.793
H -1.675 0.417 0.415
H -1.198 -2.523 3.186
H -2.285 -1.872 -2.923
H -3.890 -0.460 -3.024
Co 0.000 0.000 0.000
Na -0.469 -2.920 1.047
Na -3.015 -1.475 -0.784
```

Crystalline Na3CoH7 at its relaxed geometry. Source: Alexandria via LeMat-Bulk, functional PBE-GGA.

Output
D(E_F) = 2.1 states/eV per cell
space-group type = Cm (8)
total magnetic moment = 0.000 μB per cell
raw total energy = -3.2269 eV per atom

```
11
Lattice="4.741 -0.027 2.541 -1.116 4.608 2.541 0.348 0.440 5.289" Properties=species:S:1:pos:R:3 pbc="T T T"
H 3.292 0.578 2.765
H 0.638 0.807 1.002
H 2.748 3.472 3.987
H 1.382 0.439 4.271
H 0.109 1.446 4.271
H 2.876 3.635 6.217
H -0.194 3.337 2.765
Co 3.512 4.438 5.023
Na 0.388 3.490 5.179
Na 1.649 2.084 2.578
Na 3.307 1.180 5.179
```

Crystalline Na3CoH at its relaxed geometry. Source: Alexandria via LeMat-Bulk, functional PBE-GGA.

Output
D(E_F) = 5.9 states/eV per cell
space-group type = Pm-3m (221)
total magnetic moment = 1.174 μB per cell
energy above the lowest structure with this stoichiometry = 0 meV/atom

```
5
Lattice="4.697 0.000 0.000 0.000 4.697 0.000 0.000 0.000 4.697" Properties=species:S:1:pos:R:3 pbc="T T T"
Co 2.348 2.348 2.348
Na 2.348 0.000 0.000
Na 0.000 2.348 0.000
Na 0.000 0.000 2.348
H 0.000 0.000 0.000
```

Crystalline NaCoH3 at its relaxed geometry. Source: Alexandria via LeMat-Bulk, functional PBE-GGA.

Output
D(E_F) = 1.1 states/eV per cell
space-group type = I-4m2 (119)
total magnetic moment = 0.076 μB per cell
raw total energy = -3.4562 eV per atom

```
10
Lattice="-1.891 1.661 -1.596 -2.303 -1.378 1.295 -2.151 7.019 7.068" Properties=species:S:1:pos:R:3 pbc="T T T"
H -2.794 5.749 6.508
H -3.798 5.149 7.073
H -3.668 0.695 1.074
H -2.121 3.164 3.021
H -2.844 -0.028 1.769
H -4.225 4.138 3.745
Na -3.082 5.934 4.260
Na -3.057 2.887 1.061
Co 0.000 0.000 0.000
Co -3.276 2.891 4.106
```